BaNb2V2O11: optimized geometry, GGA+U.

SG: No. 166
Total magnetization, μB per cell: 0.00
Final energy, eV for the cell shown: -129.76
Fermi-level density of states, states/eV/atom: 0.000

abc: 10.1051 10.1051 10.1051
angles: 32.46 32.46 32.46
Atoms (fractional coordinates):
O (0.0000, 0.5000, 0.0000)
O (0.7558, 0.2388, 0.7558)
O (0.2388, 0.7558, 0.7558)
O (0.7612, 0.2442, 0.2442)
O (0.6599, 0.6599, 0.6599)
O (0.2442, 0.2442, 0.7612)
O (0.5000, 0.0000, 0.0000)
O (0.3401, 0.3401, 0.3401)
O (0.7558, 0.7558, 0.2388)
O (0.2442, 0.7612, 0.2442)
O (0.0000, 0.0000, 0.5000)
Ba (0.0000, 0.0000, 0.0000)
V (0.6015, 0.6015, 0.6015)
V (0.3985, 0.3985, 0.3985)
Nb (0.8694, 0.8694, 0.8694)
Nb (0.1306, 0.1306, 0.1306)